Record 1
Below is a relaxed structure of Ba6LiRh2, with properties calculated at the GGA-PBE level.

Geometry as CIF:
```
data_Ba6LiRh2
_cell_length_a 8.1121
_cell_length_b 8.1121
_cell_length_c 8.7973
_cell_angle_alpha 62.54
_cell_angle_beta 62.55
_cell_angle_gamma 60.00
_symmetry_space_group_name_H-M 'P 1'
_symmetry_Int_Tables_number 1
_symmetry_space_group_name_Hall 'P 1'
loop_
_atom_site_label
_atom_site_fract_x
_atom_site_fract_y
_atom_site_fract_z
Ba1 0.5304 0.2443 0.3493
Ba2 0.2443 0.8760 0.3493
Ba3 0.8760 0.5303 0.3494
Ba4 0.3390 0.6877 0.8595
Ba5 0.6877 0.1138 0.8595
Ba6 0.1138 0.3390 0.8596
Li1 0.7815 0.7815 0.6556
Rh1 0.2903 0.2903 0.1292
Rh2 0.4714 0.4715 0.5857
```

Output
- DOS at the Fermi energy (states/eV per atom) = 0.77
- formation enthalpy at 0 K (eV/atom) = -0.10
- VASP energy (Ry per atom) = -0.237

Record 2
Below is a relaxed structure of Ba3LiRh2, with properties calculated at the GGA-PBE level.

Geometry as CIF:
```
data_Ba3LiRh2
_cell_length_a 6.5725
_cell_length_b 12.2357
_cell_length_c 10.1997
_cell_angle_alpha 90.00
_cell_angle_beta 109.33
_cell_angle_gamma 90.00
_symmetry_space_group_name_H-M 'P 1'
_symmetry_Int_Tables_number 1
_symmetry_space_group_name_Hall 'P 1'
loop_
_atom_site_label
_atom_site_fract_x
_atom_site_fract_y
_atom_site_fract_z
Ba1 0.2496 0.9154 0.9724
Ba2 0.2504 0.4154 0.5276
Ba3 0.7504 0.0846 0.0276
Ba4 0.7496 0.5846 0.4724
Ba5 0.3064 0.5409 0.0983
Ba6 0.1936 0.0409 0.4017
Ba7 0.6936 0.4591 0.9017
Ba8 0.8064 0.9591 0.5983
Ba9 0.8328 0.7655 0.1597
Ba10 0.6672 0.2655 0.3403
Ba11 0.1672 0.2345 0.8403
Ba12 0.3328 0.7345 0.6597
Li1 0.4240 0.8097 0.3171
Li2 0.0760 0.3097 0.1829
Li3 0.5760 0.1903 0.6829
Li4 0.9240 0.6903 0.8171
Rh1 0.6039 0.9914 0.2744
Rh2 0.8961 0.4914 0.2256
Rh3 0.3961 0.0086 0.7256
Rh4 0.1039 0.5086 0.7744
Rh5 0.2147 0.6331 0.3494
Rh6 0.2853 0.1331 0.1506
Rh7 0.7853 0.3669 0.6506
Rh8 0.7147 0.8669 0.8494
```

Output
- DOS at the Fermi energy (states/eV per atom) = 0.60
- formation enthalpy at 0 K (eV/atom) = -0.12
- VASP energy (Ry per atom) = -0.283

Record 3
Below is a relaxed structure of BaLi2Rh, with properties calculated at the GGA-PBE level.

Geometry as CIF:
```
data_BaLi2Rh
_cell_length_a 5.9835
_cell_length_b 5.9835
_cell_length_c 5.9835
_cell_angle_alpha 145.15
_cell_angle_beta 128.51
_cell_angle_gamma 63.69
_symmetry_space_group_name_H-M 'P 1'
_symmetry_Int_Tables_number 1
_symmetry_space_group_name_Hall 'P 1'
loop_
_atom_site_label
_atom_site_fract_x
_atom_site_fract_y
_atom_site_fract_z
Ba1 0.2500 0.7500 0.5000
Li1 0.9470 0.9470 0.0000
Li2 0.5530 0.5530 0.0000
Rh1 0.7500 0.2500 0.5000
```

Output
- DOS at the Fermi energy (states/eV per atom) = 0.51
- distance to the lowest polymorph of the same formula (meV per atom) = 82
- formation enthalpy at 0 K (eV/atom) = 0.01
- VASP energy (Ry per atom) = -0.240

Record 4
Below is a relaxed structure of BaLiRh2, with properties calculated at the GGA-PBE level.

Geometry as CIF:
```
data_BaLiRh2
_cell_length_a 4.8286
_cell_length_b 4.8286
_cell_length_c 4.8286
_cell_angle_alpha 120.18
_cell_angle_beta 120.18
_cell_angle_gamma 89.69
_symmetry_space_group_name_H-M 'P 1'
_symmetry_Int_Tables_number 1
_symmetry_space_group_name_Hall 'P 1'
loop_
_atom_site_label
_atom_site_fract_x
_atom_site_fract_y
_atom_site_fract_z
Ba1 0.5000 0.5000 0.0000
Li1 0.7500 0.2500 0.5000
Rh1 0.0000 0.0000 0.0000
Rh2 0.2500 0.7500 0.5000
```

Output
- DOS at the Fermi energy (states/eV per atom) = 1.55
- distance to the lowest polymorph of the same formula (meV per atom) = 365
- formation enthalpy at 0 K (eV/atom) = 0.25
- VASP energy (Ry per atom) = -0.323

Record 5
Below is a relaxed structure of BaLi2Rh, with properties calculated at the GGA-PBE level.

Geometry as CIF:
```
data_BaLi2Rh
_cell_length_a 4.7000
_cell_length_b 4.7000
_cell_length_c 5.5804
_cell_angle_alpha 74.25
_cell_angle_beta 74.25
_cell_angle_gamma 52.39
_symmetry_space_group_name_H-M 'P 1'
_symmetry_Int_Tables_number 1
_symmetry_space_group_name_Hall 'P 1'
loop_
_atom_site_label
_atom_site_fract_x
_atom_site_fract_y
_atom_site_fract_z
Rh1 0.7500 0.7500 0.7500
Ba1 0.2500 0.2500 0.2500
Li1 0.0567 0.0567 0.8372
Li2 0.4433 0.4433 0.6628
```

Output
- DOS at the Fermi energy (states/eV per atom) = 0.52
- distance to the lowest polymorph of the same formula (meV per atom) = 43
- formation enthalpy at 0 K (eV/atom) = -0.03
- VASP energy (Ry per atom) = -0.243

Record 6
Below is a relaxed structure of BaLiRh2, with properties calculated at the GGA-PBE level.

Geometry as CIF:
```
data_BaLiRh2
_cell_length_a 5.3288
_cell_length_b 5.3288
_cell_length_c 3.1537
_cell_angle_alpha 90.00
_cell_angle_beta 90.00
_cell_angle_gamma 114.85
_symmetry_space_group_name_H-M 'P 1'
_symmetry_Int_Tables_number 1
_symmetry_space_group_name_Hall 'P 1'
loop_
_atom_site_label
_atom_site_fract_x
_atom_site_fract_y
_atom_site_fract_z
Ba1 0.5000 0.0000 0.5000
Li1 0.0000 0.5000 0.5000
Rh1 0.0000 0.0000 0.0000
Rh2 0.5000 0.5000 0.0000
```

Output
- DOS at the Fermi energy (states/eV per atom) = 1.24
- distance to the lowest polymorph of the same formula (meV per atom) = 458
- formation enthalpy at 0 K (eV/atom) = 0.34
- VASP energy (Ry per atom) = -0.316

Record 7
Below is a relaxed structure of BaLiRh2, with properties calculated at the GGA-PBE level.

Geometry as CIF:
```
data_BaLiRh2
_cell_length_a 6.1535
_cell_length_b 6.1535
_cell_length_c 6.1535
_cell_angle_alpha 42.31
_cell_angle_beta 42.31
_cell_angle_gamma 42.31
_symmetry_space_group_name_H-M 'P 1'
_symmetry_Int_Tables_number 1
_symmetry_space_group_name_Hall 'P 1'
loop_
_atom_site_label
_atom_site_fract_x
_atom_site_fract_y
_atom_site_fract_z
Ba1 0.2500 0.2500 0.2500
Li1 0.7500 0.7500 0.7500
Rh1 0.0685 0.0685 0.0685
Rh2 0.4315 0.4315 0.4315
```

Output
- DOS at the Fermi energy (states/eV per atom) = 1.20
- distance to the lowest polymorph of the same formula (meV per atom) = 59
- formation enthalpy at 0 K (eV/atom) = -0.06
- VASP energy (Ry per atom) = -0.345

Record 8
Below is a relaxed structure of BaLi2Rh2, with properties calculated at the GGA-PBE level.

Geometry as CIF:
```
data_BaLi2Rh2
_cell_length_a 7.5885
_cell_length_b 7.5885
_cell_length_c 3.1632
_cell_angle_alpha 90.00
_cell_angle_beta 90.00
_cell_angle_gamma 90.00
_symmetry_space_group_name_H-M 'P 1'
_symmetry_Int_Tables_number 1
_symmetry_space_group_name_Hall 'P 1'
loop_
_atom_site_label
_atom_site_fract_x
_atom_site_fract_y
_atom_site_fract_z
Rh1 0.1306 0.6306 0.5000
Rh2 0.6306 0.8694 0.5000
Rh3 0.8694 0.3694 0.5000
Rh4 0.3694 0.1306 0.5000
Ba1 0.0000 0.0000 0.0000
Ba2 0.5000 0.5000 0.0000
Li1 0.3600 0.8600 0.0000
Li2 0.8600 0.6400 0.0000
Li3 0.6400 0.1400 0.0000
Li4 0.1400 0.3600 0.0000
```

Output
- DOS at the Fermi energy (states/eV per atom) = 1.13
- distance to the lowest polymorph of the same formula (meV per atom) = 57
- formation enthalpy at 0 K (eV/atom) = 0.11
- VASP energy (Ry per atom) = -0.293

Record 9
Below is a relaxed structure of BaLiRh2, with properties calculated at the GGA-PBE level.

Geometry as CIF:
```
data_BaLiRh2
_cell_length_a 4.4226
_cell_length_b 4.4226
_cell_length_c 6.0542
_cell_angle_alpha 68.68
_cell_angle_beta 68.68
_cell_angle_gamma 59.99
_symmetry_space_group_name_H-M 'P 1'
_symmetry_Int_Tables_number 1
_symmetry_space_group_name_Hall 'P 1'
loop_
_atom_site_label
_atom_site_fract_x
_atom_site_fract_y
_atom_site_fract_z
Rh1 0.0154 0.0154 0.9535
Rh2 0.6871 0.6871 0.9388
Ba1 0.4927 0.4927 0.5214
Li1 0.3047 0.3047 0.0863
```

Output
- DOS at the Fermi energy (states/eV per atom) = 0.73
- distance to the lowest polymorph of the same formula (meV per atom) = 0
- formation enthalpy at 0 K (eV/atom) = -0.12
- VASP energy (Ry per atom) = -0.349

Record 10
Below is a relaxed structure of BaLi2Rh, with properties calculated at the GGA-PBE level.

Geometry as CIF:
```
data_BaLi2Rh
_cell_length_a 4.8002
_cell_length_b 4.8002
_cell_length_c 9.5676
_cell_angle_alpha 75.47
_cell_angle_beta 75.47
_cell_angle_gamma 90.00
_symmetry_space_group_name_H-M 'P 1'
_symmetry_Int_Tables_number 1
_symmetry_space_group_name_Hall 'P 1'
loop_
_atom_site_label
_atom_site_fract_x
_atom_site_fract_y
_atom_site_fract_z
Rh1 0.5000 0.5000 0.0000
Rh2 0.2500 0.7500 0.5000
Ba1 0.0000 0.0000 0.0000
Ba2 0.7500 0.2500 0.5000
Li1 0.3774 0.1250 0.2500
Li2 0.3726 0.6250 0.2500
Li3 0.3750 0.6226 0.7500
Li4 0.8750 0.6274 0.7500
```

Output
- DOS at the Fermi energy (states/eV per atom) = 0.41
- distance to the lowest polymorph of the same formula (meV per atom) = 184
- formation enthalpy at 0 K (eV/atom) = 0.11
- VASP energy (Ry per atom) = -0.233